{
  "formula": "Th8FeTe4Os3",
  "functional": "PBE",
  "state": "optimized geometry",
  "lattice": [[-4.609, -6.952, -0.118], [5.033, -3.222, -6.811], [3.975, 2.251, 6.980]],
  "species": ["Os", "Te", "Te", "Th", "Th", "Th", "Te", "Os", "Th", "Fe", "Te", "Th", "Th", "Os", "Th", "Th"],
  "fractional_positions": [[0.000, 0.500, 0.500], [0.000, 0.000, 0.000], [0.500, 0.000, 0.500], [0.771, 0.304, 0.543], [0.229, 0.696, 0.457], [0.229, 0.696, 0.967], [0.500, 0.000, 0.000], [0.500, 0.500, 0.500], [0.739, 0.696, 0.967], [0.000, 0.500, 0.000], [0.000, 0.000, 0.500], [0.771, 0.304, 0.033], [0.733, 0.699, 0.466], [0.500, 0.500, 0.000], [0.261, 0.304, 0.033], [0.267, 0.301, 0.534]],
  "total_magnetization_mub_per_cell": 0.00,
  "dos_at_fermi_per_ev_atom": 0.37,
  "e_tot_ev_per_atom": -7.90
}